No. 1
Entry from the Alexandria database: a relaxed Pr2PuH12Ru3 crystal (PBE).

Unit cell a=6.4168 b=6.4168 c=14.8343 alpha=90.00 beta=90.00 gamma=120.00
Space group R-3m (No. 166, hexagonal axes)
Asymmetric unit:
Pr 0.0000 0.0000 0.1141 (multiplicity 6)
Pu 0.0000 0.0000 0.5000 (multiplicity 3)
H 0.0429 0.5214 0.3094 (multiplicity 18)
H 0.0446 0.5223 0.8860 (multiplicity 18)
Ru 0.0000 0.5000 0.0000 (multiplicity 9)



No. 2
Entry from the Alexandria database: a relaxed PrPuHS2 crystal (PBE).

Unit cell a=4.030 b=4.030 c=11.947 alpha=90.00 beta=90.00 gamma=90.00
Space group P4/nmm (No. 129, origin choice 2)
Asymmetric unit:
Pr 0.250 0.250 0.118 (multiplicity 2)
Pu 0.250 0.250 0.600 (multiplicity 2)
H 0.250 0.750 0.500 (multiplicity 2)
S 0.250 0.250 0.351 (multiplicity 2)
S 0.250 0.250 0.868 (multiplicity 2)



No. 3
Entry from the Alexandria database: a relaxed Pr2Pu4Sb3H2 crystal (PBE).

Unit cell a=4.566 b=4.566 c=26.497 alpha=90.00 beta=90.00 gamma=90.00
Space group I4/mmm (No. 139)
Asymmetric unit:
Pr 0.000 0.000 0.201 (multiplicity 4)
Pu 0.000 0.500 0.084 (multiplicity 8)
Sb 0.000 0.000 0.325 (multiplicity 4)
Sb 0.000 0.000 0.500 (multiplicity 2)
H 0.000 0.000 0.110 (multiplicity 4)



No. 4
Entry from the Alexandria database: a relaxed Pr2Pu2Sb2H crystal (PBE).

Unit cell a=4.547 b=4.547 c=17.479 alpha=90.00 beta=90.00 gamma=90.00
Space group I4/mmm (No. 139)
Asymmetric unit:
Pr 0.000 0.000 0.176 (multiplicity 4)
Pu 0.000 0.500 0.000 (multiplicity 4)
Sb 0.000 0.000 0.364 (multiplicity 4)
H 0.000 0.000 0.000 (multiplicity 2)



No. 5
Entry from the Alexandria database: a relaxed PrPuHSe2 crystal (PBE).

Unit cell a=4.161 b=4.161 c=12.672 alpha=90.00 beta=90.00 gamma=90.00
Space group P4/nmm (No. 129, origin choice 2)
Asymmetric unit:
Pr 0.250 0.250 0.113 (multiplicity 2)
Pu 0.250 0.250 0.589 (multiplicity 2)
H 0.250 0.750 0.500 (multiplicity 2)
Se 0.250 0.250 0.346 (multiplicity 2)
Se 0.250 0.250 0.869 (multiplicity 2)



No. 6
Entry from the Alexandria database: a relaxed PrPuTe2H crystal (PBE).

Unit cell a=4.338 b=4.338 c=14.764 alpha=90.00 beta=90.00 gamma=90.00
Space group P4/nmm (No. 129, origin choice 2)
Asymmetric unit:
Pr 0.250 0.250 0.137 (multiplicity 2)
Pu 0.250 0.250 0.566 (multiplicity 2)
Te 0.250 0.250 0.346 (multiplicity 2)
Te 0.250 0.250 0.907 (multiplicity 2)
H 0.250 0.750 0.500 (multiplicity 2)



Sequential total magnetic moment output: 6.15; 5.23; 24.99; 12.20; 5.29; 5.71 μB per formula unit
Sequential E output: -5.370; -7.640; -8.453; -7.861; -7.247; -6.777 eV per atom